The following is a DFT calculation (GGA-PBE) of crystalline LiMgOs2 at its relaxed geometry. Values from VASP.

Values from the calculation:
* energy of formation: 0.57 eV per atom
* symmetry: I-42d (122)
* M_tot: 0.00 μB/cell
* total energy: -47.415 eV/cell

Geometry as Quantum ESPRESSO input:
```
&SYSTEM
  ibrav = 0, nat = 8, ntyp = 3
/
ATOMIC_SPECIES
Li 6.94 Li.upf
Os 190.23 Os.upf
Mg 24.30 Mg.upf
ATOMIC_POSITIONS angstrom
Li 1.853 3.706 4.703
Os 4.633 2.929 7.055
Os 2.780 4.483 7.055
Mg 3.706 1.853 4.703
Os 2.630 2.780 2.352
Mg 0.000 0.000 0.000
Li 1.853 1.853 0.000
Os 1.076 0.927 2.352
CELL_PARAMETERS angstrom
3.706 0.000 0.000
0.000 3.706 0.000
1.853 1.853 9.406
```



The following is a DFT calculation (GGA-PBE) of crystalline Li2MgOs at its relaxed geometry. Values from VASP.

Values from the calculation:
* energy of formation: 0.17 eV per atom
* symmetry: R3m (160)
* M_tot: 0.31 μB/cell
* total energy: -15.978 eV/cell

Geometry as Quantum ESPRESSO input:
```
&SYSTEM
  ibrav = 0, nat = 4, ntyp = 3
/
ATOMIC_SPECIES
Mg 24.30 Mg.upf
Li 6.94 Li.upf
Os 190.23 Os.upf
ATOMIC_POSITIONS angstrom
Mg -9.277 0.846 10.820
Li -4.668 0.426 5.445
Os -14.000 1.277 16.329
Li -0.108 0.010 0.126
CELL_PARAMETERS angstrom
-5.268 1.609 8.018
-7.362 1.103 6.263
-6.073 -1.006 7.533
```



The following is a DFT calculation (GGA-PBE) of crystalline LiMg3Os at its relaxed geometry. Values from VASP.

Values from the calculation:
* energy of formation: 0.43 eV per atom
* symmetry: Pm-3m (221)
* M_tot: 0.00 μB/cell
* total energy: -15.775 eV/cell

Geometry as Quantum ESPRESSO input:
```
&SYSTEM
  ibrav = 0, nat = 5, ntyp = 3
/
ATOMIC_SPECIES
Mg 24.30 Mg.upf
Os 190.23 Os.upf
Li 6.94 Li.upf
ATOMIC_POSITIONS angstrom
Mg 2.138 -0.948 0.922
Mg -0.910 0.217 2.333
Os 0.000 0.000 0.000
Li 2.188 1.588 3.414
Mg 0.960 2.318 0.158
CELL_PARAMETERS angstrom
-1.820 0.435 4.667
4.276 -1.896 1.844
1.919 4.637 0.316
```



The following is a DFT calculation (GGA-PBE) of crystalline Li2MgOs at its relaxed geometry. Values from VASP.

Values from the calculation:
* energy of formation: 0.19 eV per atom
* symmetry: Pmm2 (25)
* M_tot: 0.00 μB/cell
* total energy: -15.906 eV/cell

Geometry as Quantum ESPRESSO input:
```
&SYSTEM
  ibrav = 0, nat = 4, ntyp = 3
/
ATOMIC_SPECIES
Mg 24.30 Mg.upf
Li 6.94 Li.upf
Os 190.23 Os.upf
ATOMIC_POSITIONS angstrom
Mg 0.000 0.000 2.926
Li 1.290 2.188 1.318
Os 1.290 2.188 4.111
Li 0.000 0.000 5.453
CELL_PARAMETERS angstrom
2.579 0.000 0.000
0.000 4.377 0.000
0.000 0.000 5.523
```



The following is a DFT calculation (GGA-PBE) of crystalline LiMgOs at its relaxed geometry. Values from VASP.

Values from the calculation:
* energy of formation: 0.19 eV per atom
* symmetry: Imm2 (44)
* M_tot: 0.00 μB/cell
* total energy: -14.163 eV/cell

Geometry as Quantum ESPRESSO input:
```
&SYSTEM
  ibrav = 0, nat = 3, ntyp = 3
/
ATOMIC_SPECIES
Li 6.94 Li.upf
Os 190.23 Os.upf
Mg 24.30 Mg.upf
ATOMIC_POSITIONS angstrom
Li 0.018 0.011 0.000
Os 4.639 2.859 0.000
Mg 2.283 1.407 0.000
CELL_PARAMETERS angstrom
4.793 -0.009 0.004
2.146 4.285 -0.004
-2.826 -3.183 2.203
```



The following is a DFT calculation (GGA-PBE) of crystalline Li2MgOs at its relaxed geometry. Values from VASP.

Values from the calculation:
* energy of formation: 0.17 eV per atom
* symmetry: Pm (6)
* M_tot: 0.00 μB/cell
* total energy: -15.980 eV/cell

Geometry as Quantum ESPRESSO input:
```
&SYSTEM
  ibrav = 0, nat = 4, ntyp = 3
/
ATOMIC_SPECIES
Mg 24.30 Mg.upf
Os 190.23 Os.upf
Li 6.94 Li.upf
ATOMIC_POSITIONS angstrom
Mg 0.000 1.691 2.867
Os 2.214 2.887 4.105
Li 0.000 1.403 5.369
Li 2.214 0.608 1.249
CELL_PARAMETERS angstrom
4.428 0.000 0.000
0.000 2.566 0.050
0.000 1.096 5.406
```



The following is a DFT calculation (GGA-PBE) of crystalline LiMgOs2 at its relaxed geometry. Values from VASP.

Values from the calculation:
* energy of formation: 0.22 eV per atom
* symmetry: R-3m (166)
* M_tot: 0.00 μB/cell
* total energy: -25.098 eV/cell

Geometry as Quantum ESPRESSO input:
```
&SYSTEM
  ibrav = 0, nat = 4, ntyp = 3
/
ATOMIC_SPECIES
Mg 24.30 Mg.upf
Li 6.94 Li.upf
Os 190.23 Os.upf
ATOMIC_POSITIONS angstrom
Mg -8.182 -5.698 17.724
Li -2.727 -1.899 5.908
Os -5.454 -3.798 11.813
Os -0.001 -0.001 0.003
CELL_PARAMETERS angstrom
-4.753 -1.431 7.716
-3.871 -3.981 7.304
-2.287 -2.184 8.613
```



The following is a DFT calculation (GGA-PBE) of crystalline LiMgOs2 at its relaxed geometry. Values from VASP.

Values from the calculation:
* energy of formation: 0.23 eV per atom
* symmetry: R3m (160)
* M_tot: 0.00 μB/cell
* total energy: -25.062 eV/cell

Geometry as Quantum ESPRESSO input:
```
&SYSTEM
  ibrav = 0, nat = 4, ntyp = 3
/
ATOMIC_SPECIES
Mg 24.30 Mg.upf
Os 190.23 Os.upf
Li 6.94 Li.upf
ATOMIC_POSITIONS angstrom
Mg -9.738 15.179 -10.576
Os -3.318 5.172 -3.603
Li -6.613 10.308 -7.182
Os -12.995 20.256 -14.113
CELL_PARAMETERS angstrom
-3.445 7.888 -3.989
-3.863 6.139 -6.116
-5.758 6.339 -4.084
```